P.
First-principles (PBE) data for an optimized crystal structure of BeIrSeBr2, as listed in Alexandria via LeMat-Bulk.

Cell: 4.4912 4.4912 5.0426 Å, 90.00 90.00 90.00°
With the nearest neighbours (Å) after each atom.
Element x y z (fractional)
Be (0.0000, 0.0000, 0.0000)  4 Br 2.25
Ir (0.5000, 0.5000, 0.5000)  4 Se 3.18, 8 Br 3.38
Se (0.0000, 0.0000, 0.5000)  2 Be 2.52
Br (0.0000, 0.5000, 0.0000)  2 Be 2.25
Br (0.5000, 0.0000, 0.0000)  2 Be 2.25

Calculated values
**Volume**: 20.3 Å³ per atom
**Space-group type**: P4/mmm (123)
**Spin magnetization**: 2.2 μB/f.u.
**Crystal system**: tetragonal

=====

Q.
First-principles (PBE) data for an optimized crystal structure of BeIrSeBr2, as listed in Alexandria via LeMat-Bulk.

Cell: 5.2285 5.2285 4.7153 Å, 90.00 90.00 90.00°
With the nearest neighbours (Å) after each atom.
Element x y z (fractional)
Be (0.0000, 0.0000, 0.0000)  8 Br 3.52, 4 Se 3.70
Ir (0.5000, 0.5000, 0.5000)  2 Se 2.36, 4 Br 2.61
Se (0.5000, 0.5000, 0.0000)  2 Ir 2.36
Br (0.0000, 0.5000, 0.5000)  2 Ir 2.61
Br (0.5000, 0.0000, 0.5000)  2 Ir 2.61

Calculated values
**Volume**: 25.8 Å³ per atom
**Space-group type**: P4/mmm (123)
**Spin magnetization**: 0.0 μB/f.u.
**Crystal system**: tetragonal

=====

Unit: eV/atom. Relative energies: P 0.101; Q 0.000.

=====

P.
First-principles (PBE) data for an optimized crystal structure of BeIrSe2Br, as listed in Alexandria via LeMat-Bulk.

Cell: 4.8735 4.8735 5.1844 Å, 90.00 90.00 90.00°
With the nearest neighbours (Å) after each atom.
Element x y z (fractional)
Be (0.0000, 0.0000, 0.0000)  4 Br 3.45, 8 Se 3.56
Ir (0.5000, 0.5000, 0.5000)  4 Se 2.44, 2 Br 2.59
Se (0.0000, 0.5000, 0.5000)  2 Ir 2.44
Se (0.5000, 0.0000, 0.5000)  2 Ir 2.44
Br (0.5000, 0.5000, 0.0000)  2 Ir 2.59

Calculated values
**Volume**: 24.6 Å³ per atom
**Space-group type**: P4/mmm (123)
**Spin magnetization**: 0.0 μB/f.u.
**Crystal system**: tetragonal

=====

Q.
First-principles (PBE) data for an optimized crystal structure of BeIrSe2Br, as listed in Alexandria via LeMat-Bulk.

Cell: 4.5367 4.5367 4.4532 Å, 90.00 90.00 90.00°
With the nearest neighbours (Å) after each atom.
Element x y z (fractional)
Be (0.0000, 0.0000, 0.0000)  2 Br 2.23, 4 Se 2.27
Ir (0.5000, 0.5000, 0.5000)  8 Se 3.18, 4 Br 3.21
Se (0.0000, 0.5000, 0.0000)  2 Be 2.27
Se (0.5000, 0.0000, 0.0000)  2 Be 2.27
Br (0.0000, 0.0000, 0.5000)  2 Be 2.23

Calculated values
**Volume**: 18.3 Å³ per atom
**Space-group type**: P4/mmm (123)
**Spin magnetization**: 0.0 μB/f.u.
**Crystal system**: tetragonal

=====

Unit: eV/atom. Relative energies: P 0.000; Q 0.017.

=====

P.
First-principles (PBE) data for an optimized crystal structure of KBe2Br, as listed in Alexandria via LeMat-Bulk.

Cell: 3.3843 3.3843 7.5112 Å, 90.00 90.00 90.00°
With the nearest neighbours (Å) after each atom.
Element x y z (fractional)
K (0.0000, 0.0000, 0.0000)  1 Be 3.00, 4 Br 3.16
Be (0.0000, 0.0000, 0.3995)  4 Be 2.40
Be (0.5000, 0.5000, 0.4174)  1 Br 2.31, 4 Be 2.40
Br (0.5000, 0.5000, 0.7245)  1 Be 2.31

Calculated values
**Volume**: 21.5 Å³ per atom
**Space-group type**: P4mm (99)
**Spin magnetization**: 0.0 μB/f.u.
**Crystal system**: tetragonal

=====

Q.
First-principles (PBE) data for an optimized crystal structure of KBe2Br, as listed in Alexandria via LeMat-Bulk.

Cell: 4.0875 4.0875 13.0469 Å, 90.00 90.00 90.00°
With the nearest neighbours (Å) after each atom.
Element x y z (fractional)
K (0.0000, 0.0000, 0.0000)  4 Br 2.89
K (0.5000, 0.5000, 0.5000)  4 Br 2.89
Be (0.0000, 0.5000, 0.2500)  4 Be 2.89
Be (0.0000, 0.5000, 0.7500)  4 Be 2.89
Be (0.5000, 0.0000, 0.2500)  4 Be 2.89
Be (0.5000, 0.0000, 0.7500)  4 Be 2.89
Br (0.0000, 0.0000, 0.5000)  4 K 2.89
Br (0.5000, 0.5000, 0.0000)  4 K 2.89

Calculated values
**Volume**: 27.2 Å³ per atom
**Space-group type**: I4/mmm (139)
**Spin magnetization**: 0.0 μB/f.u.
**Crystal system**: tetragonal

=====

R.
First-principles (PBE) data for an optimized crystal structure of KBe2Br, as listed in Alexandria via LeMat-Bulk.

Cell: 7.0795 3.9487 7.0548 Å, 90.00 90.52 90.00°
With the nearest neighbours (Å) after each atom.
Element x y z (fractional)
K (0.0000, 0.0000, 0.0000)  3 Br 3.23-3.25, 6 Be 3.29-3.55
K (0.5000, 0.5000, 0.0000)  3 Br 3.23-3.25, 6 Be 3.29-3.55
Be (0.1648, 0.5000, 0.6673)  3 Be 2.32-2.34
Be (0.3386, 0.0000, 0.6327)  1 Br 2.20, 3 Be 2.32-2.34
Be (0.6648, 0.0000, 0.6673)  3 Be 2.32-2.34
Be (0.8386, 0.5000, 0.6327)  1 Br 2.20, 3 Be 2.32-2.34
Br (0.3293, 0.0000, 0.3208)  1 Be 2.20
Br (0.8293, 0.5000, 0.3208)  1 Be 2.20

Calculated values
**Volume**: 24.7 Å³ per atom
**Space-group type**: Cm (8)
**Spin magnetization**: 0.0 μB/f.u.
**Crystal system**: monoclinic

=====

S.
First-principles (PBE) data for an optimized crystal structure of KBe2Br, as listed in Alexandria via LeMat-Bulk.

Cell: 4.2785 6.6066 8.1571 Å, 90.00 90.00 90.00°
With the nearest neighbours (Å) after each atom.
Element x y z (fractional)
K (0.0000, 0.0000, 0.0000)  3 Be 3.13-3.38, 2 Br 3.30
K (0.5000, 0.5000, 0.5000)  3 Be 3.13-3.38, 2 Br 3.30
Be (0.0000, 0.0000, 0.6163)  2 Be 2.15
Be (0.0000, 0.5000, 0.0880)  2 Be 2.15, 1 Br 2.29
Be (0.5000, 0.0000, 0.5880)  2 Be 2.15, 1 Br 2.29
Be (0.5000, 0.5000, 0.1163)  2 Be 2.15
Br (0.0000, 0.5000, 0.8074)  1 Be 2.29
Br (0.5000, 0.0000, 0.3074)  1 Be 2.29

Calculated values
**Volume**: 28.8 Å³ per atom
**Space-group type**: Imm2 (44)
**Spin magnetization**: 0.0 μB/f.u.
**Crystal system**: orthorhombic

=====

Unit: eV/atom. Relative energies: P 0.005; Q 0.393; R 0.000; S 0.097.